[1]
Density functional theory data (PBE) for an optimized crystal structure of MnRuI2N.

It has space group P4/mmm (No. 123), with a = 5.2914 Å, b = 5.2914 Å, c = 3.4635 Å, α = 90.00°, β = 90.00° and γ = 90.00°. Symmetry generates all atoms from Mn at (0.0000, 0.0000, 0.0000), Ru at (0.5000, 0.5000, 0.5000), I at (0.0000, 0.5000, 0.0000) and N at (0.0000, 0.0000, 0.5000).

As for the crystal system: tetragonal. Its polymorph energy (0 for the lowest one) is 1.546 eV/f.u. The value obtained for the formation energy from raw total energies is 0.857 eV per atom. For the spin magnetization, the calculation gives 0.243 μB per atom.

[2]
Density functional theory data (PBE) for an optimized crystal structure of KRh2Se.

It has space group P4mm (No. 99), with a = 3.3110 Å, b = 3.3110 Å, c = 7.4854 Å, α = 90.00°, β = 90.00° and γ = 90.00°. Symmetry generates all atoms from K at (0.0000, 0.0000, 0.0000), Rh at (0.0000, 0.0000, 0.5226), Rh at (0.5000, 0.5000, 0.3230) and Se at (0.5000, 0.5000, 0.6595).

As for the crystal system: tetragonal. The value obtained for the formation energy from raw total energies is 0.099 eV per atom. For the spin magnetization, the calculation gives 0.000 μB per atom.